1.
KTa4IO5 | OQMD | GGA-PBE | relaxed; DFT total energy = -8.71 eV/atom; space group = No. 123
1.0
4.216 0.000 0.000
0.000 4.216 0.000
0.000 0.000 9.720
K Ta I O
1 4 1 5
Direct
0.000 0.000 0.000 K
0.000 0.500 0.500 Ta
0.500 0.000 0.500 Ta
0.500 0.500 0.298 Ta
0.500 0.500 0.702 Ta
0.500 0.500 0.000 I
0.000 0.000 0.500 O
0.000 0.500 0.285 O
0.000 0.500 0.715 O
0.500 0.000 0.285 O
0.500 0.000 0.715 O


2.
RbTa | OQMD | GGA-PBE | relaxed; DFT total energy = -3.24 eV/atom; space group = No. 225
1.0
0.000 3.699 3.699
3.699 0.000 3.699
3.699 3.699 0.000
Rb Ta
1 1
Direct
0.000 0.000 0.000 Rb
0.500 0.500 0.500 Ta


3.
Pm2Br3 | OQMD | GGA-PBE | relaxed; DFT total energy = -4.42 eV/atom; space group = No. 12
1.0
8.401 -2.031 0.000
8.401 2.031 0.000
-5.481 0.000 9.618
Pm Br
4 6
Direct
0.084 0.084 0.452 Pm
0.361 0.361 0.210 Pm
0.639 0.639 0.790 Pm
0.916 0.916 0.548 Pm
0.158 0.158 0.008 Br
0.272 0.272 0.379 Br
0.457 0.457 0.767 Br
0.543 0.543 0.233 Br
0.728 0.728 0.621 Br
0.842 0.842 0.992 Br


4.
Lu4SnBiC2 | OQMD | GGA-PBE | relaxed; DFT total energy = -6.20 eV/atom; space group = No. 187
1.0
3.565 0.000 0.000
-1.783 3.088 0.000
0.000 0.000 15.299
Lu Sn Bi C
4 1 1 2
Direct
0.000 0.000 0.165 Lu
0.000 0.000 0.835 Lu
0.667 0.333 0.332 Lu
0.667 0.333 0.668 Lu
0.667 0.333 0.000 Sn
0.000 0.000 0.500 Bi
0.333 0.667 0.251 C
0.333 0.667 0.749 C


5.
RbZn | OQMD | GGA-PBE | relaxed; DFT total energy = -1.02 eV/atom; space group = No. 38
1.0
4.691 0.000 0.000
0.000 11.424 3.716
0.000 -11.424 3.716
Rb Zn
5 5
Direct
0.000 0.000 0.000 Rb
0.000 0.032 0.389 Rb
0.000 0.389 0.032 Rb
0.500 0.570 0.875 Rb
0.500 0.875 0.570 Rb
0.000 0.456 0.569 Zn
0.000 0.569 0.456 Zn
0.500 0.258 0.389 Zn
0.500 0.389 0.258 Zn
0.500 0.617 0.617 Zn


6.
Cd12Au5 | OQMD | GGA-PBE | relaxed; energy of formation from the pure elements = -0.152 eV per atom; DFT total energy = -1.75 eV/atom; space group = No. 87
1.0
-5.385 5.385 3.092
5.385 -5.385 3.092
5.385 5.385 -3.092
Cd Au
12 5
Direct
0.067 0.362 0.919 Cd
0.068 0.642 0.710 Cd
0.148 0.067 0.705 Cd
0.358 0.068 0.426 Cd
0.362 0.443 0.295 Cd
0.443 0.148 0.081 Cd
0.557 0.852 0.919 Cd
0.638 0.557 0.705 Cd
0.642 0.932 0.574 Cd
0.852 0.933 0.295 Cd
0.932 0.358 0.290 Cd
0.933 0.638 0.081 Cd
0.000 0.000 0.000 Au
0.190 0.407 0.597 Au
0.407 0.810 0.217 Au
0.593 0.190 0.783 Au
0.810 0.593 0.403 Au


7.
PrTlZn | OQMD | GGA-PBE | relaxed; DFT total energy = -3.12 eV/atom; space group = No. 216
1.0
0.000 3.429 3.429
3.429 0.000 3.429
3.429 3.429 0.000
Pr Tl Zn
1 1 1
Direct
0.000 0.000 0.000 Pr
0.500 0.500 0.500 Tl
0.250 0.250 0.250 Zn


8.
BaPr2Hg3PdAu2 | OQMD | GGA-PBE | relaxed; DFT total energy = -3.28 eV/atom; space group = No. 38
1.0
4.050 0.000 0.000
0.000 7.076 4.076
0.000 -7.076 4.076
Ba Pr Hg Pd Au
1 2 3 1 2
Direct
0.000 0.000 0.000 Ba
0.000 0.402 0.794 Pr
0.000 0.794 0.402 Pr
0.500 0.147 0.405 Hg
0.500 0.405 0.147 Hg
0.500 0.651 0.651 Hg
0.000 0.403 0.403 Pd
0.500 0.068 0.719 Au
0.500 0.719 0.068 Au


9.
GdHoCu2 | OQMD | GGA-PBE | relaxed; energy of formation from the pure elements = -0.256 eV per atom; DFT total energy = -4.42 eV/atom; space group = No. 26
1.0
4.454 0.000 0.000
0.000 5.397 0.000
0.000 0.000 7.112
Gd Ho Cu
2 2 4
Direct
0.000 0.120 0.000 Gd
0.000 0.880 0.500 Gd
0.500 0.381 0.638 Ho
0.500 0.619 0.138 Ho
0.000 0.376 0.355 Cu
0.000 0.624 0.855 Cu
0.500 0.128 0.285 Cu
0.500 0.872 0.785 Cu


10.
LuZr2Ga | OQMD | GGA-PBE | relaxed; DFT total energy = -6.23 eV/atom; space group = No. 216
1.0
0.000 3.532 3.532
3.532 0.000 3.532
3.532 3.532 0.000
Lu Zr Ga
1 2 1
Direct
0.000 0.000 0.000 Lu
0.250 0.250 0.250 Zr
0.500 0.500 0.500 Zr
0.750 0.750 0.750 Ga


11.
KNpAu | OQMD | GGA-PBE | relaxed; DFT total energy = -4.58 eV/atom; space group = No. 216
1.0
0.000 3.567 3.567
3.567 0.000 3.567
3.567 3.567 0.000
K Np Au
1 1 1
Direct
0.000 0.000 0.000 K
0.250 0.250 0.250 Np
0.750 0.750 0.750 Au


12.
ZnCoHgW | OQMD | GGA-PBE | relaxed; energy of formation from the pure elements = 0.782 eV per atom; DFT total energy = -4.62 eV/atom; space group = No. 216
1.0
0.000 3.134 3.134
3.134 0.000 3.134
3.134 3.134 0.000
Zn Co Hg W
1 1 1 1
Direct
0.000 0.000 0.000 Zn
0.250 0.250 0.250 Co
0.500 0.500 0.500 Hg
0.750 0.750 0.750 W